First-principles (PBE-GGA) data for a relaxed Ba3GaTe4 crystal, as listed in Alexandria.

a = 7.045 Å, b = 9.859 Å, c = 11.374 Å
α = 90.00°, β = 90.00°, γ = 90.00°
Element x y z (fractional)
Te 0.600 0.189 0.000
Te 0.070 0.886 0.000
Te 0.572 0.686 0.274
Te 0.572 0.686 0.726
Te 0.072 0.314 0.226
Te 0.072 0.314 0.774
Te 0.570 0.114 0.500
Te 0.100 0.811 0.500
Ba 0.571 0.333 0.262
Ba 0.569 0.853 0.000
Ba 0.571 0.333 0.738
Ba 0.071 0.667 0.238
Ba 0.071 0.667 0.762
Ba 0.069 0.147 0.500
Ga 0.492 0.821 0.500
Ga 0.992 0.179 0.000

Output
Formation energy from raw total energies in meV/atom: -1209.3
Space-group type: Pmn2_1 (31)
Total moment in μB/f.u.: 0.000
Uncorrected energy in hartree per atom: -0.14257
Calculated volume in A^3/atom: 49.37